This record from Alexandria via LeMat-Bulk describes an optimized crystal structure of Sc5ZnIn2Ir2. The functional is GGA-PBE.

```
20
Lattice="-3.391 -0.362 -0.366 1.184 0.022 -11.003 1.163 -11.004 0.103" Properties=species:S:1:pos:R:3 pbc="T T T"
Sc -1.375 -0.991 -2.357
Sc 0.331 -10.353 -8.909
Sc -0.676 -9.002 -0.915
Sc -0.373 -4.853 -7.822
Sc -0.369 -2.342 -10.350
Sc -0.671 -6.491 -3.444
Sc -0.204 -7.852 -6.427
Sc -0.840 -3.492 -4.838
Sc -1.104 -0.170 -5.684
Sc -1.114 -5.683 -0.131
Zn 0.000 0.000 0.000
Zn 1.174 -5.491 -5.450
In 0.995 -1.875 -7.373
In 1.352 -9.107 -3.527
In 0.585 -3.608 -1.856
In 1.762 -7.373 -9.044
Ir 0.896 -6.972 -1.408
Ir 1.451 -4.010 -9.492
Ir 1.758 -9.517 -6.885
Ir 0.589 -1.465 -4.015
```

Computed properties:
**Density of states at the Fermi level**: 13.74 states/eV per cell
**V**: 21.00 Å³ per atom
**Formation energy from the elements**: -0.565 eV per atom
**Space-group type**: P4/mbm, No. 127